VASP calculation (PBE-GGA) on a geometry-optimized K2YH structure. Values from VASP.

Geometry as Quantum ESPRESSO input:
```
&SYSTEM
  ibrav = 0, nat = 16, ntyp = 3
/
ATOMIC_SPECIES
K 39.10 K.upf
Y 88.91 Y.upf
H 1.01 H.upf
ATOMIC_POSITIONS crystal
K 0.250 0.250 0.250
K 0.250 0.250 0.750
K 0.250 0.750 0.250
K 0.250 0.750 0.750
K 0.750 0.250 0.250
K 0.750 0.250 0.750
K 0.750 0.750 0.250
K 0.750 0.750 0.750
Y 0.000 0.000 0.000
Y 0.000 0.500 0.500
Y 0.500 0.000 0.500
Y 0.500 0.500 0.000
H 0.000 0.000 0.500
H 0.000 0.500 0.000
H 0.500 0.000 0.000
H 0.500 0.500 0.500
CELL_PARAMETERS angstrom
8.917 0.000 0.000
0.000 8.917 0.000
0.000 0.000 8.917
```

Computed properties:
The crystal system is cubic. The energy comes out at -2.00 eV/atom.



VASP calculation (PBE-GGA) on a geometry-optimized KY2H structure. Values from VASP.

Geometry as Quantum ESPRESSO input:
```
&SYSTEM
  ibrav = 0, nat = 16, ntyp = 3
/
ATOMIC_SPECIES
K 39.10 K.upf
Y 88.91 Y.upf
H 1.01 H.upf
ATOMIC_POSITIONS crystal
K 0.000 0.000 0.000
K 0.000 0.500 0.250
K 0.500 0.000 0.750
K 0.500 0.500 0.500
Y 0.003 0.250 0.625
Y 0.250 0.503 0.875
Y 0.250 0.997 0.375
Y 0.497 0.250 0.125
Y 0.503 0.750 0.125
Y 0.750 0.003 0.375
Y 0.750 0.497 0.875
Y 0.997 0.750 0.625
H 0.000 0.000 0.500
H 0.000 0.500 0.750
H 0.500 0.000 0.250
H 0.500 0.500 0.000
CELL_PARAMETERS angstrom
7.184 0.000 0.000
0.000 7.184 0.000
0.000 0.000 10.147
```

Computed properties:
The crystal system is tetragonal. The energy comes out at -4.20 eV/atom.